P) VASP calculation (PBE) on a relaxed YCoSiW crystal.

Computed properties:
- Space-group type: F-43m
- Volume: 67.9 Å³ per cell

The structure in POSCAR format:
```
YCoSiW
1.0
0.0000 3.2386 3.2386
3.2386 0.0000 3.2386
3.2386 3.2386 0.0000
Y Co Si W
1 1 1 1
Direct
0.0000 0.0000 0.0000 Y
0.5000 0.5000 0.5000 Co
0.2500 0.2500 0.2500 Si
0.7500 0.7500 0.7500 W
```

=====

Q) VASP calculation (PBE) on a relaxed YCoSiW crystal.

Computed properties:
- Space-group type: F-43m
- Volume: 63.5 Å³ per cell

The structure in POSCAR format:
```
YCoSiW
1.0
0.0000 3.1663 3.1663
3.1663 0.0000 3.1663
3.1663 3.1663 0.0000
Y Co Si W
1 1 1 1
Direct
0.0000 0.0000 0.0000 Y
0.7500 0.7500 0.7500 Co
0.5000 0.5000 0.5000 Si
0.2500 0.2500 0.2500 W
```

=====

Most stable: Q). Least stable: P).

=====

P) VASP calculation (PBE) on a relaxed SmZrCo crystal.

Computed properties:
- Space-group type: F-43m
- Volume: 67.0 Å³ per cell

The structure in POSCAR format:
```
SmZrCo
1.0
0.0000 3.2237 3.2237
3.2237 0.0000 3.2237
3.2237 3.2237 0.0000
Sm Zr Co
1 1 1
Direct
0.0000 0.0000 0.0000 Sm
0.7500 0.7500 0.7500 Zr
0.5000 0.5000 0.5000 Co
```

=====

Q) VASP calculation (PBE) on a relaxed SmZrCo crystal.

Computed properties:
- Space-group type: F-43m
- Volume: 66.4 Å³ per cell

The structure in POSCAR format:
```
SmZrCo
1.0
0.0000 3.2140 3.2140
3.2140 0.0000 3.2140
3.2140 3.2140 0.0000
Sm Zr Co
1 1 1
Direct
0.0000 0.0000 0.0000 Sm
0.2500 0.2500 0.2500 Zr
0.7500 0.7500 0.7500 Co
```

=====

Most stable: P). Least stable: Q).